A geometry-optimized HoThTl6 structure, computed with PBE.

Calculated values
**ΔE_f**: -17.5 kJ per mole of atoms

Cell: 4.7859 4.7859 9.5737 Å, 90.00 90.00 90.00°
Space group P4/mmm (No. 123)
Symmetry-distinct sites (fractional):
1 Ho 0.0000 0.0000 0.0000 (multiplicity 1)
2 Th 0.0000 0.0000 0.5000 (multiplicity 1)
3 Tl 0.0000 0.5000 0.2442 (multiplicity 4)
4 Tl 0.5000 0.5000 0.0000 (multiplicity 1)
5 Tl 0.5000 0.5000 0.5000 (multiplicity 1)